LiPtI: relaxed, PBE-GGA.

Cell: 14.486 4.540 4.540 Å, 118.75 133.37 46.63°
Positions (direct):
I  0.423  0.338  0.662
I  0.836  0.067  0.933
Pt  0.268  0.114  0.886
Pt  0.136  0.665  0.335
Li  0.177  0.935  0.065
Li  0.973  0.541  0.459

Computed properties:
- Fermi-level density of states (states/eV per cell) = 2.60

Cs2PuTlCl8: relaxed, PBE-GGA.

Cell: 7.374 7.128 9.448 Å, 89.95 90.03 92.80°
Positions (direct):
Cs  0.500  0.499  0.756
Cs  0.500  0.501  0.244
Pu  0.000  0.000  0.000
Tl  0.000  0.000  0.500
Cl  0.109  0.784  0.202
Cl  0.689  0.820  0.999
Cl  0.889  0.215  0.201
Cl  0.891  0.216  0.798
Cl  0.311  0.180  0.001
Cl  0.111  0.785  0.799
Cl  0.689  0.779  0.501
Cl  0.311  0.221  0.499

Computed properties:
- Fermi-level density of states (states/eV per cell) = 13.65

Th6SiAs3S2: relaxed, PBE-GGA.

Cell: 4.207 8.351 9.373 Å, 103.14 102.97 90.00°
Positions (direct):
Th  0.335  0.911  0.670
Th  0.669  0.577  0.338
Th  0.665  0.089  0.330
Th  0.003  0.246  0.005
Th  0.997  0.754  0.995
Th  0.331  0.423  0.662
Si  0.500  0.000  0.000
As  0.500  0.500  0.000
As  0.834  0.169  0.667
As  0.166  0.831  0.333
S  0.833  0.667  0.665
S  0.167  0.333  0.335

Computed properties:
- Fermi-level density of states (states/eV per cell) = 7.61

V2SnMo: relaxed, PBE-GGA.

Cell: 3.311 3.311 5.848 Å, 90.00 90.00 90.00°
Positions (direct):
Mo  0.500  0.500  0.000
Sn  0.500  0.500  0.500
V  0.000  0.000  0.779
V  0.000  0.000  0.221

Computed properties:
- Fermi-level density of states (states/eV per cell) = 3.88

NdPaSe4: relaxed, PBE-GGA.

Cell: 4.262 7.339 7.984 Å, 62.39 74.56 90.00°
Positions (direct):
Nd  0.500  0.500  0.000
Pa  0.000  0.000  0.000
Se  0.888  0.575  0.224
Se  0.612  0.966  0.776
Se  0.388  0.034  0.224
Se  0.112  0.425  0.776

LiTbCe2: relaxed, PBE-GGA.

Cell: 3.281 3.281 10.344 Å, 90.00 90.00 90.00°
Positions (direct):
Tb  0.500  0.500  0.500
Ce  0.000  0.000  0.759
Ce  0.000  0.000  0.241
Li  0.500  0.500  0.000

Computed properties:
- Fermi-level density of states (states/eV per cell) = 11.02

Number 1: DFT total energy -3.60 eV/atom. Number 2: DFT total energy -4.30 eV/atom. Number 3: DFT total energy -7.44 eV/atom. Number 4: DFT total energy -8.29 eV/atom. Number 5: DFT total energy -6.24 eV/atom. Number 6: DFT total energy -4.40 eV/atom.